(1)
Zr2AgTe after structural relaxation. Source: Alexandria via LeMat-Bulk, functional PBE.

```
Zr2AgTe
1.0
1.708 0.986 9.573
-1.708 0.986 9.573
0.000 -1.972 9.573
Zr Ag Te
2 1 1
Direct
0.000 0.000 0.000 Zr
0.249 0.249 0.249 Zr
0.745 0.745 0.745 Ag
0.506 0.506 0.506 Te
```

Properties
As for the polymorph energy (0 for the lowest one): 180 meV/atom. The raw formation energy comes out at -130 meV per atom. The total energy comes out at -5.90 eV per atom. The calculation puts the theoretical density at 7.17 Mg/m³.



(2)
ThAg6 after structural relaxation. Source: Alexandria via LeMat-Bulk, functional PBE.

```
ThAg6
1.0
8.969 0.000 0.000
0.000 5.683 0.000
0.000 0.000 11.255
Th Ag
4 24
Direct
0.243 0.250 0.068 Th
0.257 0.750 0.568 Th
0.743 0.250 0.432 Th
0.757 0.750 0.932 Th
0.062 0.008 0.308 Ag
0.062 0.492 0.308 Ag
0.063 0.750 0.086 Ag
0.104 0.250 0.518 Ag
0.145 0.750 0.850 Ag
0.186 0.250 0.763 Ag
0.314 0.750 0.263 Ag
0.355 0.250 0.350 Ag
0.396 0.750 0.018 Ag
0.437 0.250 0.586 Ag
0.438 0.508 0.808 Ag
0.438 0.992 0.808 Ag
0.562 0.008 0.192 Ag
0.562 0.492 0.192 Ag
0.563 0.750 0.414 Ag
0.604 0.250 0.982 Ag
0.645 0.750 0.650 Ag
0.686 0.250 0.737 Ag
0.814 0.750 0.237 Ag
0.855 0.250 0.150 Ag
0.896 0.750 0.482 Ag
0.937 0.250 0.914 Ag
0.938 0.508 0.692 Ag
0.938 0.992 0.692 Ag
```

Properties
As for the polymorph energy (0 for the lowest one): 0 meV/atom. The total energy comes out at -3.54 eV per atom. The calculation puts the theoretical density at 10.18 Mg/m³. The formation energy is -22 kJ/mol of formula units.



(3)
Th2Ag after structural relaxation. Source: Alexandria via LeMat-Bulk, functional PBE.

```
Th2Ag
1.0
-3.814 3.814 2.908
3.814 -3.814 2.908
3.814 3.814 -2.908
Th Ag
4 2
Direct
0.155 0.655 0.809 Th
0.345 0.155 0.500 Th
0.655 0.845 0.500 Th
0.845 0.345 0.191 Th
0.250 0.250 0.000 Ag
0.750 0.750 0.000 Ag
```

Properties
The total energy comes out at -5.95 eV per atom. The calculation puts the theoretical density at 11.22 Mg/m³. The formation energy is -15 kJ/mol of formula units.



(4)
Th14Ag51 after structural relaxation. Source: Alexandria via LeMat-Bulk, functional PBE.

```
Th14Ag51
1.0
12.963 0.000 0.000
-6.482 11.226 0.000
0.000 0.000 9.513
Th Ag
14 51
Direct
0.000 0.000 0.194 Th
0.000 0.000 0.806 Th
0.112 0.379 0.500 Th
0.146 0.674 0.000 Th
0.267 0.888 0.500 Th
0.326 0.472 0.000 Th
0.398 0.285 0.500 Th
0.468 0.146 0.000 Th
0.528 0.854 0.000 Th
0.621 0.733 0.500 Th
0.678 0.532 0.000 Th
0.715 0.113 0.500 Th
0.854 0.322 0.000 Th
0.887 0.602 0.500 Th
0.056 0.236 0.000 Ag
0.075 0.804 0.259 Ag
0.075 0.804 0.741 Ag
0.101 0.436 0.169 Ag
0.101 0.436 0.831 Ag
0.116 0.617 0.349 Ag
0.116 0.617 0.651 Ag
0.132 0.117 0.500 Ag
0.180 0.944 0.000 Ag
0.196 0.271 0.259 Ag
0.196 0.271 0.741 Ag
0.241 0.183 0.000 Ag
0.265 0.077 0.267 Ag
0.265 0.077 0.733 Ag
0.333 0.667 0.205 Ag
0.333 0.667 0.500 Ag
0.333 0.667 0.795 Ag
0.334 0.899 0.169 Ag
0.334 0.899 0.831 Ag
0.383 0.499 0.349 Ag
0.383 0.499 0.651 Ag
0.442 0.341 0.167 Ag
0.442 0.341 0.833 Ag
0.491 0.115 0.348 Ag
0.491 0.115 0.652 Ag
0.501 0.884 0.349 Ag
0.501 0.884 0.651 Ag
0.564 0.666 0.169 Ag
0.564 0.666 0.831 Ag
0.624 0.509 0.348 Ag
0.624 0.509 0.652 Ag
0.659 0.101 0.167 Ag
0.659 0.101 0.833 Ag
0.667 0.333 0.205 Ag
0.667 0.333 0.500 Ag
0.667 0.333 0.795 Ag
0.729 0.925 0.259 Ag
0.729 0.925 0.741 Ag
0.764 0.820 0.000 Ag
0.812 0.735 0.267 Ag
0.812 0.735 0.733 Ag
0.817 0.058 0.000 Ag
0.883 0.016 0.500 Ag
0.885 0.376 0.348 Ag
0.885 0.376 0.652 Ag
0.899 0.558 0.167 Ag
0.899 0.558 0.833 Ag
0.923 0.188 0.267 Ag
0.923 0.188 0.733 Ag
0.942 0.759 0.000 Ag
0.984 0.868 0.500 Ag
```

Properties
The total energy comes out at -3.97 eV per atom. The calculation puts the theoretical density at 10.49 Mg/m³. The formation energy is -834 kJ/mol of formula units.



(5)
ThAg5 after structural relaxation. Source: Alexandria via LeMat-Bulk, functional PBE.

```
ThAg5
1.0
2.599 -4.713 0.000
2.599 4.713 0.000
0.000 0.000 5.150
Th Ag
1 5
Direct
0.000 0.000 0.000 Th
0.187 0.813 0.500 Ag
0.332 0.668 0.000 Ag
0.500 0.500 0.500 Ag
0.668 0.332 0.000 Ag
0.813 0.187 0.500 Ag
```

Properties
The total energy comes out at -3.57 eV per atom. The calculation puts the theoretical density at 10.15 Mg/m³. The formation energy is 25 kJ/mol of formula units.



(6)
Th3Ag11 after structural relaxation. Source: Alexandria via LeMat-Bulk, functional PBE.

```
Th3Ag11
1.0
-2.379 4.925 6.516
2.379 -4.925 6.516
2.379 4.925 -6.516
Th Ag
3 11
Direct
0.000 0.000 0.000 Th
0.288 0.288 0.000 Th
0.712 0.712 0.000 Th
0.016 0.654 0.362 Ag
0.148 0.866 0.282 Ag
0.293 0.654 0.638 Ag
0.337 0.500 0.837 Ag
0.416 0.134 0.282 Ag
0.500 0.000 0.500 Ag
0.584 0.866 0.718 Ag
0.663 0.500 0.163 Ag
0.707 0.346 0.362 Ag
0.852 0.134 0.718 Ag
0.984 0.346 0.638 Ag
```

Properties
The total energy comes out at -3.88 eV per atom. The calculation puts the theoretical density at 10.24 Mg/m³. The formation energy is -62 kJ/mol of formula units.